No. 1
Computed, not measured: CaMg8Zn4 after structural relaxation at the GGA-PBEsol level of DFT.

**Total DFT energy (no corrections)**: -1.817 eV per atom
**ΔH_f (0 K)**: -1.4 eV per formula unit
**Calculated volume**: 20.02 Å³/atom
**Crystal system**: tetragonal

Cell and atoms, written as CIF:
```
data_CaMg8Zn4
_cell_length_a 7.418
_cell_length_b 7.418
_cell_length_c 7.418
_cell_angle_alpha 97.83
_cell_angle_beta 97.83
_cell_angle_gamma 136.68
_symmetry_space_group_name_H-M 'P 1'
_symmetry_Int_Tables_number 1
_symmetry_space_group_name_Hall 'P 1'
loop_
_atom_site_label
_atom_site_type_symbol
_atom_site_fract_x
_atom_site_fract_y
_atom_site_fract_z
Ca1 Ca 0.000 0.000 0.000
Mg1 Mg 0.000 0.347 0.347
Mg2 Mg 0.000 0.653 0.653
Mg3 Mg 0.285 0.500 0.785
Mg4 Mg 0.347 0.000 0.347
Mg5 Mg 0.500 0.285 0.785
Mg6 Mg 0.500 0.715 0.215
Mg7 Mg 0.653 0.000 0.653
Mg8 Mg 0.715 0.500 0.215
Zn1 Zn 0.000 0.000 0.500
Zn2 Zn 0.000 0.500 0.000
Zn3 Zn 0.500 0.000 0.000
Zn4 Zn 0.500 0.500 0.500
```

---

No. 2
Computed, not measured: CaMgZn after structural relaxation at the GGA-PBEsol level of DFT.

**Total DFT energy (no corrections)**: -1.396 eV per atom
**ΔH_f (0 K)**: 1.2 eV per formula unit
**Calculated volume**: 29.74 Å³/atom
**Crystal system**: cubic

Cell and atoms, written as CIF:
```
data_CaMgZn
_cell_length_a 5.016
_cell_length_b 5.016
_cell_length_c 5.016
_cell_angle_alpha 60.00
_cell_angle_beta 60.00
_cell_angle_gamma 60.00
_symmetry_space_group_name_H-M 'P 1'
_symmetry_Int_Tables_number 1
_symmetry_space_group_name_Hall 'P 1'
loop_
_atom_site_label
_atom_site_type_symbol
_atom_site_fract_x
_atom_site_fract_y
_atom_site_fract_z
Ca1 Ca 0.000 0.000 0.000
Mg1 Mg 0.750 0.750 0.750
Zn1 Zn 0.250 0.250 0.250
```

---

No. 3
Computed, not measured: Ca3Mg4Zn11 after structural relaxation at the GGA-PBEsol level of DFT.

**Total DFT energy (no corrections)**: -1.840 eV per atom
**ΔH_f (0 K)**: -2.5 eV per formula unit
**Calculated volume**: 18.74 Å³/atom
**Crystal system**: hexagonal

Cell and atoms, written as CIF:
```
data_Ca3Mg4Zn11
_cell_length_a 9.180
_cell_length_b 9.180
_cell_length_c 9.242
_cell_angle_alpha 90.00
_cell_angle_beta 90.00
_cell_angle_gamma 120.00
_symmetry_space_group_name_H-M 'P 1'
_symmetry_Int_Tables_number 1
_symmetry_space_group_name_Hall 'P 1'
loop_
_atom_site_label
_atom_site_type_symbol
_atom_site_fract_x
_atom_site_fract_y
_atom_site_fract_z
Ca1 Ca 0.199 0.398 0.250
Ca2 Ca 0.199 0.801 0.250
Ca3 Ca 0.398 0.199 0.750
Ca4 Ca 0.602 0.801 0.250
Ca5 Ca 0.801 0.199 0.750
Ca6 Ca 0.801 0.602 0.750
Mg1 Mg 0.000 0.000 0.250
Mg2 Mg 0.000 0.000 0.750
Mg3 Mg 0.000 0.500 0.000
Mg4 Mg 0.000 0.500 0.500
Mg5 Mg 0.500 0.000 0.000
Mg6 Mg 0.500 0.000 0.500
Mg7 Mg 0.500 0.500 0.000
Mg8 Mg 0.500 0.500 0.500
Zn1 Zn 0.145 0.572 0.750
Zn2 Zn 0.155 0.310 0.590
Zn3 Zn 0.155 0.310 0.910
Zn4 Zn 0.155 0.845 0.590
Zn5 Zn 0.155 0.845 0.910
Zn6 Zn 0.310 0.155 0.090
Zn7 Zn 0.310 0.155 0.410
Zn8 Zn 0.333 0.667 0.511
Zn9 Zn 0.333 0.667 0.989
Zn10 Zn 0.428 0.572 0.750
Zn11 Zn 0.428 0.855 0.750
Zn12 Zn 0.572 0.145 0.250
Zn13 Zn 0.572 0.428 0.250
Zn14 Zn 0.667 0.333 0.011
Zn15 Zn 0.667 0.333 0.489
Zn16 Zn 0.690 0.845 0.590
Zn17 Zn 0.690 0.845 0.910
Zn18 Zn 0.845 0.155 0.090
Zn19 Zn 0.845 0.155 0.410
Zn20 Zn 0.845 0.690 0.090
Zn21 Zn 0.845 0.690 0.410
Zn22 Zn 0.855 0.428 0.250
```

---

No. 4
Computed, not measured: CaMgZn2 after structural relaxation at the GGA-PBEsol level of DFT.

**Total DFT energy (no corrections)**: -1.915 eV per atom
**ΔH_f (0 K)**: -0.6 eV per formula unit
**Calculated volume**: 21.06 Å³/atom
**Crystal system**: orthorhombic

Cell and atoms, written as CIF:
```
data_CaMgZn2
_cell_length_a 5.921
_cell_length_b 5.921
_cell_length_c 6.566
_cell_angle_alpha 90.00
_cell_angle_beta 90.00
_cell_angle_gamma 132.97
_symmetry_space_group_name_H-M 'P 1'
_symmetry_Int_Tables_number 1
_symmetry_space_group_name_Hall 'P 1'
loop_
_atom_site_label
_atom_site_type_symbol
_atom_site_fract_x
_atom_site_fract_y
_atom_site_fract_z
Ca1 Ca 0.093 0.907 0.750
Ca2 Ca 0.907 0.093 0.250
Mg1 Mg 0.205 0.795 0.250
Mg2 Mg 0.795 0.205 0.750
Zn1 Zn 0.390 0.610 0.562
Zn2 Zn 0.390 0.610 0.938
Zn3 Zn 0.610 0.390 0.062
Zn4 Zn 0.610 0.390 0.438
```

---

No. 5
Computed, not measured: CaMg4Zn2 after structural relaxation at the GGA-PBEsol level of DFT.

**Total DFT energy (no corrections)**: -1.820 eV per atom
**Excess energy over the best structure of this formula in the dataset**: 0 meV per atom
**ΔH_f (0 K)**: -0.6 eV per formula unit
**Calculated volume**: 21.82 Å³/atom
**Crystal system**: trigonal

Cell and atoms, written as CIF:
```
data_CaMg4Zn2
_cell_length_a 8.366
_cell_length_b 8.366
_cell_length_c 8.366
_cell_angle_alpha 32.79
_cell_angle_beta 32.79
_cell_angle_gamma 32.79
_symmetry_space_group_name_H-M 'P 1'
_symmetry_Int_Tables_number 1
_symmetry_space_group_name_Hall 'P 1'
loop_
_atom_site_label
_atom_site_type_symbol
_atom_site_fract_x
_atom_site_fract_y
_atom_site_fract_z
Ca1 Ca 0.000 0.000 0.000
Mg1 Mg 0.139 0.139 0.139
Mg2 Mg 0.417 0.417 0.417
Mg3 Mg 0.583 0.583 0.583
Mg4 Mg 0.861 0.861 0.861
Zn1 Zn 0.258 0.258 0.258
Zn2 Zn 0.742 0.742 0.742
```

---

No. 6
Computed, not measured: Ca2MgZn2 after structural relaxation at the GGA-PBEsol level of DFT.

**Total DFT energy (no corrections)**: -2.025 eV per atom
**ΔH_f (0 K)**: -1.0 eV per formula unit
**Calculated volume**: 24.74 Å³/atom
**Crystal system**: orthorhombic

Cell and atoms, written as CIF:
```
data_Ca2MgZn2
_cell_length_a 7.577
_cell_length_b 7.577
_cell_length_c 3.937
_cell_angle_alpha 90.00
_cell_angle_beta 90.00
_cell_angle_gamma 146.82
_symmetry_space_group_name_H-M 'P 1'
_symmetry_Int_Tables_number 1
_symmetry_space_group_name_Hall 'P 1'
loop_
_atom_site_label
_atom_site_type_symbol
_atom_site_fract_x
_atom_site_fract_y
_atom_site_fract_z
Ca1 Ca 0.132 0.868 0.000
Ca2 Ca 0.868 0.132 0.000
Mg1 Mg 0.500 0.500 0.500
Zn1 Zn 0.299 0.701 0.500
Zn2 Zn 0.701 0.299 0.500
```

---

No. 7
Computed, not measured: Ca4MgZn2 after structural relaxation at the GGA-PBEsol level of DFT.

**Total DFT energy (no corrections)**: -2.012 eV per atom
**ΔH_f (0 K)**: -0.7 eV per formula unit
**Calculated volume**: 28.28 Å³/atom
**Crystal system**: trigonal

Cell and atoms, written as CIF:
```
data_Ca4MgZn2
_cell_length_a 8.787
_cell_length_b 8.787
_cell_length_c 8.787
_cell_angle_alpha 34.87
_cell_angle_beta 34.87
_cell_angle_gamma 34.87
_symmetry_space_group_name_H-M 'P 1'
_symmetry_Int_Tables_number 1
_symmetry_space_group_name_Hall 'P 1'
loop_
_atom_site_label
_atom_site_type_symbol
_atom_site_fract_x
_atom_site_fract_y
_atom_site_fract_z
Ca1 Ca 0.115 0.115 0.115
Ca2 Ca 0.369 0.369 0.369
Ca3 Ca 0.631 0.631 0.631
Ca4 Ca 0.885 0.885 0.885
Mg1 Mg 0.500 0.500 0.500
Zn1 Zn 0.242 0.242 0.242
Zn2 Zn 0.758 0.758 0.758
```

---

No. 8
Computed, not measured: CaMgZn after structural relaxation at the GGA-PBEsol level of DFT.

**Total DFT energy (no corrections)**: -1.919 eV per atom
**ΔH_f (0 K)**: -0.3 eV per formula unit
**Calculated volume**: 25.29 Å³/atom
**Crystal system**: monoclinic

Cell and atoms, written as CIF:
```
data_CaMgZn
_cell_length_a 6.950
_cell_length_b 6.431
_cell_length_c 8.590
_cell_angle_alpha 90.00
_cell_angle_beta 127.77
_cell_angle_gamma 90.00
_symmetry_space_group_name_H-M 'P 1'
_symmetry_Int_Tables_number 1
_symmetry_space_group_name_Hall 'P 1'
loop_
_atom_site_label
_atom_site_type_symbol
_atom_site_fract_x
_atom_site_fract_y
_atom_site_fract_z
Ca1 Ca 0.210 0.132 0.427
Ca2 Ca 0.210 0.368 0.927
Ca3 Ca 0.790 0.632 0.073
Ca4 Ca 0.790 0.868 0.573
Mg1 Mg 0.243 0.629 0.584
Mg2 Mg 0.243 0.871 0.084
Mg3 Mg 0.757 0.129 0.916
Mg4 Mg 0.757 0.371 0.416
Zn1 Zn 0.339 0.556 0.324
Zn2 Zn 0.339 0.944 0.824
Zn3 Zn 0.661 0.056 0.176
Zn4 Zn 0.661 0.444 0.676
```

---

No. 9
Computed, not measured: Ca4Mg3Zn2 after structural relaxation at the GGA-PBEsol level of DFT.

**Total DFT energy (no corrections)**: -1.985 eV per atom
**ΔH_f (0 K)**: -1.0 eV per formula unit
**Calculated volume**: 27.79 Å³/atom
**Crystal system**: monoclinic

Cell and atoms, written as CIF:
```
data_Ca4Mg3Zn2
_cell_length_a 8.333
_cell_length_b 8.333
_cell_length_c 7.480
_cell_angle_alpha 107.38
_cell_angle_beta 107.38
_cell_angle_gamma 30.42
_symmetry_space_group_name_H-M 'P 1'
_symmetry_Int_Tables_number 1
_symmetry_space_group_name_Hall 'P 1'
loop_
_atom_site_label
_atom_site_type_symbol
_atom_site_fract_x
_atom_site_fract_y
_atom_site_fract_z
Ca1 Ca 0.080 0.080 0.354
Ca2 Ca 0.269 0.269 0.809
Ca3 Ca 0.731 0.731 0.191
Ca4 Ca 0.920 0.920 0.646
Mg1 Mg 0.407 0.407 0.299
Mg2 Mg 0.500 0.500 0.000
Mg3 Mg 0.593 0.593 0.701
Zn1 Zn 0.104 0.104 0.953
Zn2 Zn 0.896 0.896 0.047
```

---

No. 10
Computed, not measured: CaMgZn2 after structural relaxation at the GGA-PBEsol level of DFT.

**Total DFT energy (no corrections)**: -1.891 eV per atom
**ΔH_f (0 K)**: -0.6 eV per formula unit
**Calculated volume**: 22.59 Å³/atom
**Crystal system**: trigonal

Cell and atoms, written as CIF:
```
data_CaMgZn2
_cell_length_a 6.050
_cell_length_b 6.050
_cell_length_c 6.050
_cell_angle_alpha 42.18
_cell_angle_beta 42.18
_cell_angle_gamma 42.18
_symmetry_space_group_name_H-M 'P 1'
_symmetry_Int_Tables_number 1
_symmetry_space_group_name_Hall 'P 1'
loop_
_atom_site_label
_atom_site_type_symbol
_atom_site_fract_x
_atom_site_fract_y
_atom_site_fract_z
Ca1 Ca 0.000 0.000 0.000
Mg1 Mg 0.804 0.804 0.804
Zn1 Zn 0.210 0.210 0.210
Zn2 Zn 0.550 0.550 0.550
```

---

No. 11
Computed, not measured: CaMg2Zn after structural relaxation at the GGA-PBEsol level of DFT.

**Total DFT energy (no corrections)**: -1.905 eV per atom
**ΔH_f (0 K)**: -0.5 eV per formula unit
**Calculated volume**: 23.73 Å³/atom
**Crystal system**: orthorhombic

Cell and atoms, written as CIF:
```
data_CaMg2Zn
_cell_length_a 4.726
_cell_length_b 6.060
_cell_length_c 6.628
_cell_angle_alpha 90.00
_cell_angle_beta 90.00
_cell_angle_gamma 90.00
_symmetry_space_group_name_H-M 'P 1'
_symmetry_Int_Tables_number 1
_symmetry_space_group_name_Hall 'P 1'
loop_
_atom_site_label
_atom_site_type_symbol
_atom_site_fract_x
_atom_site_fract_y
_atom_site_fract_z
Ca1 Ca 0.250 0.250 0.084
Ca2 Ca 0.750 0.750 0.916
Mg1 Mg 0.250 0.005 0.631
Mg2 Mg 0.250 0.495 0.631
Mg3 Mg 0.750 0.505 0.369
Mg4 Mg 0.750 0.995 0.369
Zn1 Zn 0.250 0.750 0.258
Zn2 Zn 0.750 0.250 0.742
```